# PBE-GGA SbTeN3, relaxed
data_SbTeN3
_chemical_formula_sum 'Sb1 Te1 N3'
_space_group_name_H-M_alt 'P m -3 m'
_space_group_IT_number 221
_space_group_name_Hall '-P 4 2 3'
_cell_length_a 4.0474
_cell_length_b 4.0474
_cell_length_c 4.0474
_cell_angle_alpha 90.00
_cell_angle_beta 90.00
_cell_angle_gamma 90.00
loop_
_atom_site_label
_atom_site_type_symbol
_atom_site_fract_x
_atom_site_fract_y
_atom_site_fract_z
Sb1 Sb 0.0000 0.0000 0.0000
Te1 Te 0.5000 0.5000 0.5000
N1 N 0.0000 0.0000 0.5000
# Theoretical density ... 7.30 Mg/m³
# Total energy ... -4.9537 eV/atom